Crystalline Ac4Pr3Y2 at its relaxed geometry, computed with GGA-PBE.

The structure in CIF format:
```
data_Ac4Pr3Y2
_chemical_formula_sum 'Ac4 Pr3 Y2'
_space_group_name_H-M_alt 'P 3 m 1'
_space_group_IT_number 156
_cell_length_a 3.8161
_cell_length_b 3.8161
_cell_length_c 28.2644
_cell_angle_alpha 90.00
_cell_angle_beta 90.00
_cell_angle_gamma 120.00
loop_
_space_group_symop_operation_xyz
'x,y,z'
'-y,x-y,z'
'-x+y,-x,z'
'-y,-x,z'
'-x+y,y,z'
'x,x-y,z'
loop_
_atom_site_label
_atom_site_type_symbol
_atom_site_fract_x
_atom_site_fract_y
_atom_site_fract_z
Ac1 Ac 0.0000 0.0000 0.0000
Ac2 Ac 0.0000 0.0000 0.2222
Ac3 Ac 0.3333 0.6667 0.3406
Ac4 Ac 0.3333 0.6667 0.5642
Pr1 Pr 0.0000 0.0000 0.4515
Pr2 Pr 0.3333 0.6667 0.1093
Pr3 Pr 0.3333 0.6667 0.7741
Y1 Y 0.0000 0.0000 0.6711
Y2 Y 0.0000 0.0000 0.8741
```

- crystal system = trigonal
- energy relative to the elements (eV per atom) = 0.0950
- V (Å³ per cell) = 356.5
- offset from the most stable computed form (meV/atom) = 59.5
- M_tot (μB per atom) = 0.012